1.
A relaxed structure of TaSe2NF. Source: Alexandria, functional PBE-GGA.

Geometry as POSCAR:
```
TaSe2NF
1.0
-0.4956 -0.0136 -5.0357
5.0288 -0.2660 -0.4942
-0.2071 -3.9728 0.0311
Se Ta N F
2 1 1 1
Direct
0.0000 0.5000 0.0000
0.5000 0.0000 0.0000
0.0000 0.0000 0.0000
0.0000 0.0000 0.5000
0.5000 0.5000 0.5000
```

energy: -5.835 eV per atom
energy above the most stable polymorph in this dataset: 0.0 meV/atom
theoretical density: 6.06 g cm⁻³
spin magnetization: 2.4 Bohr magnetons per cell

---

2.
A relaxed structure of SrLaI2N. Source: Alexandria, functional PBE-GGA.

Geometry as POSCAR:
```
SrLaI2N
1.0
6.2005 0.0000 0.0000
0.0000 6.2005 0.0000
0.0000 0.0000 4.3739
La N I Sr
1 1 2 1
Direct
0.5000 0.5000 0.5000
0.0000 0.0000 0.5000
0.0000 0.5000 0.0000
0.5000 0.0000 0.0000
0.0000 0.0000 0.0000
```

energy: -3.814 eV per atom
energy above the most stable polymorph in this dataset: 1110.4 meV/atom
theoretical density: 4.88 g cm⁻³
spin magnetization: 0.5 Bohr magnetons per cell

---

3.
A relaxed structure of MgSc12Co5. Source: Alexandria, functional PBE-GGA.

Geometry as POSCAR:
```
MgSc12Co5
1.0
-5.9254 2.3593 -4.3541
6.7923 1.0104 -3.5324
-0.4315 -7.5773 1.4258
Sc Co Mg
12 5 1
Direct
0.8075 0.0294 0.2219
0.3089 0.6825 0.9914
0.3089 0.3175 0.6264
0.0946 0.8187 0.2759
0.8075 0.5857 0.7781
0.1925 0.9706 0.7781
0.6911 0.3175 0.0086
0.9054 0.1813 0.7241
0.6911 0.6825 0.3736
0.4571 0.1813 0.2759
0.1925 0.4143 0.2219
0.5429 0.8187 0.7241
0.5000 0.1187 0.6187
0.6489 0.6489 0.0000
0.3511 0.3511 0.0000
0.0000 0.0000 0.0000
0.5000 0.8813 0.3813
0.0000 0.5000 0.5000
```

energy: -6.519 eV per atom
E_form: -22.77 kJ/mol of atoms
theoretical density: 4.04 g cm⁻³
spin magnetization: 0.0 Bohr magnetons per cell

---

4.
A relaxed structure of Al2TlPd2. Source: Alexandria, functional PBE-GGA.

Geometry as POSCAR:
```
Al2TlPd2
1.0
4.1814 0.0000 0.0000
0.0000 4.1814 0.0000
2.0907 2.0907 5.5334
Tl Pd Al
1 2 2
Direct
0.0000 0.0000 0.0000
0.7500 0.2500 0.5000
0.2500 0.7500 0.5000
0.6224 0.6224 0.7551
0.3776 0.3776 0.2449
```

energy: -4.385 eV per atom
E_form: -32.54 kJ/mol of atoms
theoretical density: 8.09 g cm⁻³
spin magnetization: 0.0 Bohr magnetons per cell

---

5.
A relaxed structure of Sc2Ga9Ag. Source: Alexandria, functional PBE-GGA.

Geometry as POSCAR:
```
Sc2Ga9Ag
1.0
4.1419 0.0000 0.0000
0.0000 4.1419 0.0000
0.0000 0.0000 12.4251
Ga Sc Ag
9 2 1
Direct
0.0000 0.5000 0.5000
0.0000 0.5000 0.8358
0.5000 0.5000 0.3387
0.0000 0.5000 0.1642
0.5000 0.0000 0.5000
0.5000 0.5000 0.6613
0.5000 0.5000 0.0000
0.5000 0.0000 0.8358
0.5000 0.0000 0.1642
0.0000 0.0000 0.6651
0.0000 0.0000 0.3349
0.0000 0.0000 0.0000
```

energy: -3.856 eV per atom
E_form: -28.24 kJ/mol of atoms
theoretical density: 6.43 g cm⁻³
spin magnetization: 0.0 Bohr magnetons per cell

---

6.
A relaxed structure of SbPdAu2. Source: Alexandria, functional PBE-GGA.

Geometry as POSCAR:
```
SbPdAu2
1.0
4.4563 0.0000 0.0000
0.0000 4.1116 0.0000
0.0000 0.0000 4.1116
Au Pd Sb
2 1 1
Direct
0.0000 0.0000 0.5000
0.0000 0.5000 0.0000
0.5000 0.0000 0.0000
0.5000 0.5000 0.5000
```

energy: -4.051 eV per atom
theoretical density: 13.71 g cm⁻³
spin magnetization: 0.0 Bohr magnetons per cell